Computed, not measured: a relaxed structure of YHoEr6Tm2 at the PBE level of DFT.

Structure (extended XYZ):
```
20
Lattice="4.471 -7.452 0.000 4.471 7.452 0.000 -1.172 0.000 9.355" Properties=species:S:1:pos:R:3 pbc="T T T"
Y 3.592 7.104 7.016
Y 4.178 -7.104 2.339
Ho 4.178 1.351 2.339
Ho 3.592 -1.351 7.016
Er 1.838 4.091 6.404
Er 3.859 4.655 0.526
Er 4.497 4.655 4.152
Er 2.507 1.587 8.239
Er 5.346 4.091 7.629
Er 4.677 1.587 5.794
Er 3.093 -1.587 3.562
Er 2.424 -4.091 1.726
Er 5.263 -1.587 1.116
Er 3.273 -4.655 5.203
Er 3.912 -4.655 8.830
Er 5.932 -4.091 2.951
Tm 1.606 0.818 5.093
Tm 2.191 -0.818 0.415
Tm 5.579 0.818 8.940
Tm 6.165 -0.818 4.263
```

## Properties
For the calculated formation energy, the calculation gives 0.120 eV/atom. The calculation puts the total magnetization at 0.0 μB/f.u. For the volume, the calculation gives 31.17 Å³ per atom. As for the density of states at the Fermi level: 28.536 states/eV per cell.